{
  "formula": "LiPm2NpS4",
  "functional": "PBE",
  "state": "relaxed",
  "sg": "P2/m",
  "e_tot_ev_per_atom": -6.838,
  "lattice_angstrom": [[-1.030, 0.151, -3.835], [2.835, -6.167, -1.004], [-6.586, -0.721, 1.740]],
  "species": ["Li", "S", "Np", "S", "S", "S", "Pm", "Pm"],
  "frac_coords": [[0.000, 0.000, 0.000], [0.000, 0.252, 0.762], [0.500, 0.500, 0.000], [0.500, 0.757, 0.762], [0.000, 0.748, 0.238], [0.500, 0.243, 0.238], [0.500, 0.000, 0.500], [0.000, 0.500, 0.500]]
}